ScMnSi GGA-PBE relaxed; total energy = -22.10 eV per formula unit; density of states at the Fermi level = 0.756 states/eV per atom; magnetization = 0.00 μB/f.u.; formation energy without anion corrections = -391.0 meV/atom
1.0
-4.6682 1.7994 0.9836
-4.9354 -1.2231 0.3769
-0.6068 -0.5452 2.9849
Mn Sc Si
1 1 1
direct
0.0278 0.0277 0.9722
0.3370 0.3370 0.6630
0.6352 0.6352 0.3648

CdAg2Bi GGA-PBE relaxed; total energy = -9.86 eV per formula unit; density of states at the Fermi level = 0.381 states/eV per atom; magnetization = 0.00 μB/f.u.; formation energy = 160 meV per atom
1.0
-2.9396 3.1352 1.0974
0.7178 -0.8313 4.2976
6.1094 7.8879 2.7945
Bi Ag Cd
2 4 2
direct
0.0000 0.0000 0.0000
0.7500 0.2500 0.5000
0.6068 0.1250 0.2500
0.1432 0.6250 0.2500
0.3750 0.3932 0.7500
0.8750 0.8568 0.7500
0.5000 0.5000 0.0000
0.2500 0.7500 0.5000

BeReCl2 GGA-PBE relaxed; total energy = -16.38 eV per formula unit; density of states at the Fermi level = 0.420 states/eV per atom; magnetization = 0.96 μB/f.u.; formation energy without anion corrections = 871.8 meV/atom
1.0
-1.7441 -1.1456 1.8249
-0.6159 -1.9848 -1.8346
8.4969 -6.4185 4.0915
Re Be Cl
1 1 2
direct
0.5000 0.5000 0.2500
0.5000 0.5000 0.7500
0.0000 0.0000 0.8740
0.0000 0.0000 0.6260

K2CuW GGA-PBE relaxed; total energy = -14.94 eV per formula unit; density of states at the Fermi level = 0.741 states/eV per atom; magnetization = 0.00 μB/f.u.; formation energy = 1075 meV per atom
1.0
4.5680 -0.0005 0.0011
3.7342 2.6311 0.0011
0.3179 0.1007 10.2635
Cu K W
1 2 1
direct
0.7519 0.7519 0.6675
0.0158 0.0158 0.9067
0.2453 0.2453 0.3361
0.4869 0.4869 0.5896

BaNiOs GGA-PBE relaxed; total energy = -15.03 eV per formula unit; density of states at the Fermi level = 1.884 states/eV per atom; magnetization = 2.23 μB/f.u.; formation energy = 1300 meV per atom
1.0
4.6739 0.0000 0.0000
2.3369 4.0477 0.0000
2.3369 1.3492 3.8162
Ba Ni Os
1 1 1
direct
0.5000 0.5000 0.5000
0.2500 0.2500 0.2500
0.0000 0.0000 0.0000

PmMnP2Ru GGA-PBE relaxed; total energy = -38.76 eV per formula unit; density of states at the Fermi level = 0.562 states/eV per atom; magnetization = 0.00 μB/f.u.; formation energy = -949 meV per atom
1.0
-0.3881 0.6996 -3.9409
3.5866 -1.6966 -0.6544
-3.7611 -3.8555 1.7376
Pm Mn P Ru
1 1 2 1
direct
0.0000 0.0000 0.0000
0.7500 0.2500 0.5000
0.6362 0.6362 0.2723
0.3638 0.3638 0.7277
0.2500 0.7500 0.5000

KBOF2 GGA-PBE relaxed; total energy = -30.41 eV per formula unit; density of states at the Fermi level = 0.000 states/eV per atom; magnetization = 0.04 μB/f.u.; formation energy without anion corrections = -2786.6 meV/atom
1.0
7.0705 0.0000 0.0000
0.0000 9.9184 -0.0528
0.0000 -0.4434 12.0420
K B O F
12 12 12 24
direct
0.5742 0.7937 0.0833
0.9258 0.2937 0.5833
0.4258 0.2063 0.9167
0.0742 0.7063 0.4167
0.7147 0.0086 0.3549
0.7853 0.5086 0.8549
0.2853 0.9914 0.6451
0.2147 0.4914 0.1451
0.1034 0.8298 0.9287
0.3966 0.3298 0.4287
0.8966 0.1702 0.0713
0.6034 0.6702 0.5713
0.2278 0.0222 0.3632
0.2722 0.5222 0.8632
0.7722 0.9778 0.6368
0.7278 0.4778 0.1368
0.8916 0.0977 0.8070
0.6084 0.5977 0.3070
0.1084 0.9023 0.1930
0.3916 0.4023 0.6930
0.6499 0.9153 0.8227
0.8501 0.4153 0.3227
0.3501 0.0847 0.1773
0.1499 0.5847 0.6773
0.0800 0.9507 0.3050
0.4200 0.4507 0.8050
0.9200 0.0493 0.6950
0.5800 0.5493 0.1950
0.3551 0.0971 0.2961
0.1449 0.5971 0.7961
0.6449 0.9029 0.7039
0.8551 0.4029 0.2039
0.7521 0.0287 0.8701
0.7479 0.5287 0.3701
0.2479 0.9713 0.1299
0.2521 0.4713 0.6299
0.4538 0.9222 0.8648
0.0462 0.4222 0.3648
0.5462 0.0778 0.1352
0.9538 0.5778 0.6352
0.6612 0.0734 0.5708
0.8388 0.5734 0.0708
0.3388 0.9266 0.4292
0.1612 0.4266 0.9292
0.0762 0.0909 0.8663
0.4238 0.5909 0.3663
0.9238 0.9091 0.1337
0.5762 0.4091 0.6337
0.6530 0.7428 0.3126
0.8470 0.2428 0.8126
0.3470 0.2572 0.6874
0.1530 0.7572 0.1874
0.7753 0.2892 0.3691
0.7247 0.7892 0.8691
0.2247 0.7108 0.6309
0.2753 0.2108 0.1309
0.8535 0.8857 0.5502
0.6465 0.3857 0.0502
0.1465 0.1143 0.4498
0.3535 0.6143 0.9498

KPt3 GGA-PBE relaxed; total energy = -18.41 eV per formula unit; density of states at the Fermi level = 1.060 states/eV per atom; magnetization = 0.00 μB/f.u.; formation energy = 201 meV per atom
1.0
4.9567 -3.2939 0.0000
4.9567 3.2939 0.0000
0.0000 0.0000 4.5650
K Pt
2 6
direct
0.4357 0.4357 0.2500
0.5643 0.5643 0.7500
0.6127 0.0195 0.7500
0.0849 0.0849 0.7500
0.9805 0.3873 0.2500
0.0195 0.6127 0.7500
0.9151 0.9151 0.2500
0.3873 0.9805 0.2500

HfTe7SeCl6 GGA-PBE relaxed; total energy = -57.30 eV per formula unit; magnetization = 0.00 μB/f.u.; formation energy without anion corrections = -719.6 meV/atom
1.0
12.0338 0.0000 0.0000
0.0000 12.0083 0.0955
0.0000 5.7125 14.6935
Hf Te Se Cl
4 28 4 24
direct
0.7121 0.7936 0.1072
0.2879 0.2064 0.8928
0.2121 0.2064 0.3928
0.7879 0.7936 0.6072
0.6451 0.3610 0.2370
0.3549 0.6390 0.7630
0.1451 0.6390 0.2630
0.8549 0.3610 0.7370
0.2335 0.8615 0.1646
0.7665 0.1385 0.8354
0.7335 0.1385 0.3354
0.2665 0.8615 0.6646
0.6637 0.1960 0.0492
0.3363 0.8040 0.9508
0.1637 0.8040 0.4508
0.8363 0.1960 0.5492
0.4441 0.6405 0.5445
0.5559 0.3595 0.4555
0.9441 0.3595 0.9555
0.0559 0.6405 0.0445
0.9610 0.3536 0.1334
0.0390 0.6464 0.8666
0.4610 0.6464 0.3666
0.5390 0.3536 0.6334
0.3569 0.8723 0.3093
0.6431 0.1277 0.6907
0.8569 0.1277 0.1907
0.1431 0.8723 0.8093
0.9998 0.7383 0.3515
0.0002 0.2617 0.6485
0.4998 0.2617 0.1485
0.5002 0.7383 0.8515
0.7672 0.4069 0.4564
0.2328 0.5931 0.5436
0.2672 0.5931 0.0436
0.7328 0.4069 0.9564
0.6287 0.9238 0.1816
0.3713 0.0762 0.8184
0.1287 0.0762 0.3184
0.8713 0.9238 0.6816
0.8867 0.9048 0.4623
0.1133 0.0952 0.5377
0.3867 0.0952 0.0377
0.6133 0.9048 0.9623
0.7023 0.6685 0.5322
0.2977 0.3315 0.4678
0.2023 0.3315 0.9678
0.7977 0.6685 0.0322
0.5490 0.6584 0.1538
0.4510 0.3416 0.8462
0.0491 0.3416 0.3462
0.9510 0.6584 0.6538
0.8668 0.9344 0.0600
0.1332 0.0656 0.9400
0.3668 0.0656 0.4400
0.6332 0.9344 0.5600
0.8026 0.6700 0.2517
0.1974 0.3300 0.7483
0.3026 0.3300 0.2483
0.6974 0.6700 0.7517

AlZn2Br GGA-PBE relaxed; total energy = -7.22 eV per formula unit; density of states at the Fermi level = 0.238 states/eV per atom; magnetization = 0.00 μB/f.u.; formation energy without anion corrections = 185.7 meV/atom
1.0
5.0388 0.1028 0.0000
-1.1638 4.9036 0.0000
0.0000 0.0000 3.2709
Zn Al Br
2 1 1
direct
0.0000 0.0000 0.0000
0.5000 0.5000 0.0000
0.5000 0.0000 0.5000
0.0000 0.5000 0.5000

SmTmGa GGA-PBE relaxed; total energy = -13.04 eV per formula unit; density of states at the Fermi level = 0.516 states/eV per atom; magnetization = 0.00 μB/f.u.; formation energy = -276 meV per atom
1.0
-0.5249 -1.0190 3.5114
4.7740 0.9908 1.0011
-3.4419 3.5581 0.5181
Tm Ga Sm
1 1 1
direct
0.0970 0.0000 0.0000
0.2733 0.3333 0.6667
0.6297 0.6667 0.3333

CsK2RbLi GGA-PBE relaxed; total energy = -5.30 eV per formula unit; density of states at the Fermi level = 0.709 states/eV per atom; magnetization = 0.00 μB/f.u.; formation energy = 126 meV per atom
1.0
7.2067 0.0000 0.0000
0.0000 7.2067 0.0000
0.0000 0.0000 7.6564
Cs K Rb Li
1 2 1 1
direct
0.0000 0.0000 0.5000
0.0000 0.5000 0.0000
0.5000 0.0000 0.0000
0.5000 0.5000 0.5000
0.0000 0.0000 0.0000

LiTi2Se3 GGA-PBE relaxed; total energy = -34.12 eV per formula unit; density of states at the Fermi level = 0.676 states/eV per atom; magnetization = 0.20 μB/f.u.; formation energy without anion corrections = -993.7 meV/atom
1.0
4.4896 0.0000 0.0000
0.0000 7.0830 -0.2451
-2.2448 -1.9441 8.7357
Li Ti Se
2 4 6
direct
0.3878 0.2533 0.7756
0.6122 0.7467 0.2244
0.2869 0.6180 0.5739
0.7131 0.3820 0.4261
0.9166 0.7926 0.8331
0.0834 0.2074 0.1669
0.2357 0.2460 0.4714
0.0703 0.8552 0.1407
0.4269 0.6403 0.8538
0.7643 0.7540 0.5286
0.5731 0.3597 0.1462
0.9297 0.1448 0.8593

Rb2CaS2 GGA-PBE relaxed; total energy = -17.63 eV per formula unit; density of states at the Fermi level = 0.000 states/eV per atom; magnetization = 0.00 μB/f.u.; formation energy without anion corrections = -1087.8 meV/atom
1.0
-5.6995 4.2549 3.7150
-5.3871 -5.6816 -1.7574
1.0423 -2.2964 4.2292
Ca S Rb
2 4 4
direct
0.0000 0.0000 0.0000
0.5000 0.5000 0.0000
0.3139 0.8139 0.0000
0.8139 0.6861 0.0000
0.6861 0.1861 0.0000
0.1861 0.3139 0.0000
0.1359 0.6359 0.5000
0.6359 0.8641 0.5000
0.8641 0.3641 0.5000
0.3641 0.1359 0.5000

TeMoS2N GGA-PBE relaxed; total energy = -23.75 eV per formula unit; density of states at the Fermi level = 0.531 states/eV per atom; magnetization = 3.81 μB/f.u.; formation energy without anion corrections = 1360.2 meV/atom
1.0
-0.2228 -1.1556 4.9652
3.6435 -3.5122 -0.6540
2.7137 2.6765 0.7447
Mo Te S N
1 1 2 1
direct
0.5000 0.5000 0.5000
0.0000 0.0000 0.0000
0.0000 0.5000 0.0000
0.5000 0.0000 0.0000
0.0000 0.0000 0.5000

Li2CaOs GGA-PBE relaxed; total energy = -14.99 eV per formula unit; density of states at the Fermi level = 0.482 states/eV per atom; magnetization = 0.26 μB/f.u.; formation energy = 518 meV per atom
1.0
-2.4934 -2.3996 -3.8593
2.2243 -3.2847 3.3366
-2.2975 -0.0294 1.5027
Ca Li Os
1 2 1
direct
0.0000 0.5000 0.5000
0.0000 0.0000 0.0000
0.5000 0.5000 0.0000
0.5000 0.0000 0.5000

LiTl2Pt GGA-PBE relaxed; total energy = -13.38 eV per formula unit; density of states at the Fermi level = 0.259 states/eV per atom; magnetization = 0.00 μB/f.u.; formation energy = -173 meV per atom
1.0
-2.7446 -1.6253 -1.2816
0.5601 -2.6323 2.1387
-4.1705 3.1369 4.9532
Li Pt Tl
1 1 2
direct
0.0000 0.0000 0.5529
0.5000 0.5000 0.7036
0.0000 0.0000 0.9436
0.5000 0.5000 0.2999

NaCaSe2 GGA-PBE relaxed; total energy = -15.22 eV per formula unit; density of states at the Fermi level = 0.752 states/eV per atom; magnetization = 0.00 μB/f.u.; formation energy without anion corrections = -1233.5 meV/atom
1.0
-1.1775 -3.0921 -2.8879
-0.6951 -4.1193 1.3547
-6.7586 -1.0299 0.5191
Na Ca Se
1 1 2
direct
0.4945 0.4945 0.5164
0.6695 0.6695 0.9916
0.0836 0.0836 0.7491
0.2524 0.2524 0.2429

Y4AlZn2Au GGA-PBE relaxed; total energy = -39.48 eV per formula unit; density of states at the Fermi level = 0.582 states/eV per atom; magnetization = 0.00 μB/f.u.; formation energy = -507 meV per atom
1.0
5.0847 0.0000 0.0000
2.5423 4.4035 0.0000
2.5423 1.4678 8.3160
Y Al Zn Au
4 1 2 1
direct
0.3761 0.3761 0.8717
0.8742 0.8742 0.3773
0.1258 0.1258 0.6227
0.6239 0.6239 0.1283
0.0000 0.0000 0.0000
0.7462 0.7462 0.7614
0.2538 0.2538 0.2386
0.5000 0.5000 0.5000

PmYSe3 GGA-PBE relaxed; total energy = -31.14 eV per formula unit; magnetization = 0.00 μB/f.u.; formation energy without anion corrections = -1893.4 meV/atom
1.0
-3.1826 -0.8054 -2.5002
3.1257 -6.8519 -1.7716
-7.9225 -6.7868 12.2710
Pm Y Se
4 4 12
direct
0.7500 0.8600 0.7983
0.2500 0.1400 0.2017
0.7500 0.3600 0.7017
0.2500 0.6400 0.2983
0.2500 0.2705 0.9574
0.2500 0.7705 0.5426
0.7500 0.2295 0.4574
0.7500 0.7295 0.0426
0.2500 0.3785 0.5640
0.7500 0.8489 0.2162
0.7500 0.4919 0.8933
0.7500 0.9919 0.6067
0.7500 0.6215 0.4360
0.2500 0.0081 0.3933
0.2500 0.8785 0.9360
0.7500 0.3489 0.2838
0.2500 0.6511 0.7162
0.2500 0.1511 0.7838
0.7500 0.1215 0.0640
0.2500 0.5081 0.1067

HgOsCl4 GGA-PBE relaxed; total energy = -10.48 eV per formula unit; density of states at the Fermi level = 1.569 states/eV per atom; magnetization = 6.96 μB/f.u.; formation energy without anion corrections = 1406.3 meV/atom
1.0
0.0000 4.1847 4.1847
4.1847 0.0000 4.1847
4.1847 4.1847 0.0000
Hg Os Cl
1 1 4
direct
0.7500 0.7500 0.7500
0.0000 0.0000 0.0000
0.8767 0.3744 0.3744
0.3744 0.3744 0.8767
0.3744 0.8767 0.3744
0.3744 0.3744 0.3744